(1)
An optimized crystal structure of Te2PS. Source: Alexandria via LeMat-Bulk, functional GGA-PBE.

Results
The uncorrected formation energy comes out at 0.643 eV/atom. The value obtained for the total moment is 0.0000 μB per atom. The energy above the most stable polymorph in this dataset comes out at 269 meV per atom.

Cell: 9.726 9.726 9.726 Å, 20.06 20.06 20.06°
Fractional coordinates of all 4 atoms:
Te1 0.092 0.092 0.092
Te2 0.908 0.908 0.908
P1 0.000 0.000 0.000
S1 0.500 0.500 0.500

***

(2)
An optimized crystal structure of VRe2I2. Source: Alexandria via LeMat-Bulk, functional GGA-PBE.

Results
The uncorrected formation energy comes out at 1.712 eV/atom. The value obtained for the total moment is 0.3079 μB per atom. The energy above the most stable polymorph in this dataset comes out at 11 meV per atom.

Cell: 7.753 7.753 3.186 Å, 90.00 90.00 90.00°
Fractional coordinates of all 10 atoms:
V1 0.000 0.000 0.000
V2 0.500 0.500 0.000
Re1 0.143 0.357 0.500
Re2 0.357 0.857 0.500
Re3 0.643 0.143 0.500
Re4 0.857 0.643 0.500
I1 0.160 0.660 0.000
I2 0.340 0.160 0.000
I3 0.660 0.840 0.000
I4 0.840 0.340 0.000

***

(3)
An optimized crystal structure of LaMg2P. Source: Alexandria via LeMat-Bulk, functional GGA-PBE.

Results
Its calculated formation energy is -0.217 eV per atom. The value obtained for the total moment is 0.0000 μB per atom.

Cell: 3.383 3.578 7.777 Å, 90.00 90.00 90.00°
Fractional coordinates of all 4 atoms:
La1 0.000 0.000 0.000
Mg1 0.500 0.500 0.319
Mg2 0.500 0.500 0.681
P1 0.000 0.000 0.500

***

(4)
An optimized crystal structure of Ca2NiHgH. Source: Alexandria via LeMat-Bulk, functional GGA-PBE.

Results
The value obtained for the total moment is 0.0000 μB per atom. For the total energy, the calculation gives -15.1 eV/cell.

Cell: 5.220 5.220 3.506 Å, 90.00 90.00 90.00°
Fractional coordinates of all 5 atoms:
Ca1 0.000 0.500 0.000
Ca2 0.500 0.000 0.000
Ni1 0.000 0.000 0.500
Hg1 0.500 0.500 0.500
H1 0.000 0.000 0.000

***

(5)
An optimized crystal structure of ScSn2Pb. Source: Alexandria via LeMat-Bulk, functional GGA-PBE.

Results
Its calculated formation energy is -0.058 eV per atom. The value obtained for the total moment is 0.0000 μB per atom.

Cell: 6.736 6.736 6.736 Å, 102.18 102.18 125.31°
Fractional coordinates of all 8 atoms:
Sc1 0.000 0.000 0.000
Sc2 0.750 0.250 0.500
Sn1 0.114 0.625 0.989
Sn2 0.375 0.364 0.489
Sn3 0.636 0.125 0.011
Sn4 0.875 0.886 0.511
Pb1 0.250 0.750 0.500
Pb2 0.500 0.500 0.000

***

(6)
An optimized crystal structure of BHPb2S4. Source: Alexandria via LeMat-Bulk, functional GGA-PBE.

Results
The value obtained for the total moment is 0.0000 μB per atom. For the total energy, the calculation gives -69.5 eV/cell.

Cell: 8.193 8.193 8.193 Å, 111.89 100.54 116.38°
Fractional coordinates of all 16 atoms:
B1 0.500 0.000 0.000
B2 0.500 0.500 0.500
H1 0.000 0.000 0.000
H2 0.500 0.000 0.500
Pb1 0.000 0.000 0.500
Pb2 0.000 0.500 0.000
Pb3 0.000 0.500 0.500
Pb4 0.500 0.500 0.000
S1 0.116 0.180 0.936
S2 0.257 0.820 0.436
S3 0.324 0.401 0.576
S4 0.324 0.748 0.924
S5 0.676 0.252 0.076
S6 0.676 0.599 0.424
S7 0.743 0.180 0.564
S8 0.884 0.820 0.064